Here is a relaxed Np2UTc crystal from Alexandria. Energies are from GGA-PBE.

Lattice parameters (Å, degrees): 3.5388 3.5388 23.3712 90.00 90.00 120.00
Space group R-3m (No. 166, hexagonal axes)
One atom of each set of equivalent atoms:
Np (0.0000, 0.0000, 0.1022) [6 per cell]
U (0.0000, 0.0000, 0.5000) [3 per cell]
Tc (0.0000, 0.0000, 0.0000) [3 per cell]

DOS(E_F) ... 28.3 states/eV per cell
Total magnetization ... 0.01 μB/f.u.
Energy relative to the lowest polymorph listed for this composition ... 0.591 eV/atom
ρ ... 15.92 g/cm³
Energy ... -132.758 eV/cell
Formation enthalpy at 0 K ... 0.82 eV per atom

---

Here is a relaxed NpU3Tc2 crystal from Alexandria. Energies are from GGA-PBE.

Lattice parameters (Å, degrees): 9.962 4.452 5.905 90.00 124.04 90.00
Space group Cm (No. 8)
One atom of each set of equivalent atoms:
Np (0.000, 0.000, 0.000) [2 per cell]
U (0.022, 0.000, 0.449) [2 per cell]
U (0.157, 0.500, 0.063) [2 per cell]
U (0.210, 0.500, 0.557) [2 per cell]
Tc (0.320, 0.000, 0.003) [2 per cell]
Tc (0.375, 0.000, 0.530) [2 per cell]

DOS(E_F) ... 23.8 states/eV per cell
Total magnetization ... 0.00 μB/f.u.
ρ ... 17.56 g/cm³
Energy ... -136.471 eV/cell
Formation enthalpy at 0 K ... -0.12 eV per atom

---

Here is a relaxed NpUTcW crystal from Alexandria. Energies are from GGA-PBE.

Lattice parameters (Å, degrees): 6.592 6.592 6.592 90.00 90.00 90.00
Space group F-43m (No. 216)
One atom of each set of equivalent atoms:
Np (0.000, 0.000, 0.000) [4 per cell]
U (0.250, 0.250, 0.750) [4 per cell]
Tc (0.250, 0.250, 0.250) [4 per cell]
W (0.000, 0.000, 0.500) [4 per cell]

DOS(E_F) ... 38.7 states/eV per cell
Total magnetization ... 3.49 μB/f.u.
ρ ... 17.55 g/cm³
Energy ... -186.620 eV/cell
Formation enthalpy at 0 K ... 0.22 eV per atom

---

Here is a relaxed NpUZnTc crystal from Alexandria. Energies are from GGA-PBE.

Lattice parameters (Å, degrees): 6.578 6.578 6.578 90.00 90.00 90.00
Space group F-43m (No. 216)
One atom of each set of equivalent atoms:
Np (0.000, 0.000, 0.000) [4 per cell]
U (0.250, 0.250, 0.750) [4 per cell]
Zn (0.250, 0.250, 0.250) [4 per cell]
Tc (0.000, 0.000, 0.500) [4 per cell]

DOS(E_F) ... 17.8 states/eV per cell
Total magnetization ... 4.23 μB/f.u.
ρ ... 14.90 g/cm³
Energy ... -143.162 eV/cell
Formation enthalpy at 0 K ... 0.02 eV per atom